A relaxed structure of YEr4Al, computed with PBE-GGA.

Offset from the most stable computed form: 0.00 eV/f.u.
Calculated formation energy: -0.7 eV/f.u.
Total DFT energy (no corrections): -4.8639 eV per atom
Total magnetization: 0.0 μB per formula unit
Symmetry: P4/mmm (123)

Structure (CIF):
```
data_YEr4Al
_cell_length_a 3.5019
_cell_length_b 3.5019
_cell_length_c 13.9188
_cell_angle_alpha 90.00
_cell_angle_beta 90.00
_cell_angle_gamma 90.00
_space_group_name_H-M_alt 'P 1'
_space_group_IT_number 1
loop_
_space_group_symop_operation_xyz
'x,y,z'
loop_
_atom_site_label
_atom_site_type_symbol
_atom_site_fract_x
_atom_site_fract_y
_atom_site_fract_z
Er1 Er 0.0000 0.0000 0.3635
Er2 Er 0.5000 0.5000 0.1814
Er3 Er 0.5000 0.5000 0.8186
Er4 Er 0.0000 0.0000 0.6365
Y1 Y 0.0000 0.0000 0.0000
Al1 Al 0.5000 0.5000 0.5000
```